Computed, not measured: Rb2GeCl3 after structural relaxation at the PBE-GGA level of DFT.

Values from the calculation:
Uncorrected energy, eV per atom: -3.33
Calculated density, g cm⁻³: 3.0
E_form (uncorrected), eV per atom: -1.316
V, Å³ per cell: 194.38
Space group: Immm (71)
Density of states at the Fermi level, states/eV per cell: 0.6

Cell and atoms, written as POSCAR:
```
Rb2GeCl3
1.0
-2.1003 2.6722 8.6583
2.1003 -2.6722 8.6583
2.1003 2.6722 -8.6583
Rb Ge Cl
2 1 3
Direct
0.1479 0.1479 0.0000 Rb
0.8521 0.8521 0.0000 Rb
0.5000 0.5000 0.0000 Ge
0.0000 0.5000 0.5000 Cl
0.3414 0.3414 0.0000 Cl
0.6586 0.6586 0.0000 Cl
```

---

Computed, not measured: Er2Si4RuPt3 after structural relaxation at the PBE-GGA level of DFT.

Values from the calculation:
Uncorrected energy, eV per atom: -6.89
Calculated density, g cm⁻³: 11.1
E_form (uncorrected), eV per atom: -1.070
V, Å³ per cell: 169.35
Space group: P-4m2 (115)
Density of states at the Fermi level, states/eV per cell: 2.2

Cell and atoms, written as POSCAR:
```
Er2Si4RuPt3
1.0
4.1164 0.0000 0.0000
0.0000 4.1164 0.0000
0.0000 0.0000 9.9944
Er Si Ru Pt
2 4 1 3
Direct
0.0000 0.5000 0.2488 Er
0.5000 0.0000 0.7512 Er
0.0000 0.0000 0.0000 Si
0.0000 0.5000 0.6302 Si
0.5000 0.0000 0.3698 Si
0.5000 0.5000 0.0000 Si
0.0000 0.0000 0.5000 Ru
0.0000 0.5000 0.8702 Pt
0.5000 0.0000 0.1298 Pt
0.5000 0.5000 0.5000 Pt
```

---

Computed, not measured: La3Pm4ThSe8 after structural relaxation at the PBE-GGA level of DFT.

Values from the calculation:
Uncorrected energy, eV per atom: -6.17
Calculated density, g cm⁻³: 7.2
E_form (uncorrected), eV per atom: -1.856
V, Å³ per cell: 431.28
Space group: R-3m (166)
Density of states at the Fermi level, states/eV per cell: 11.2

Cell and atoms, written as POSCAR:
```
La3Pm4ThSe8
1.0
4.2449 2.4508 6.9103
-4.2449 2.4508 6.9103
0.0000 -4.9016 6.9103
La Pm Th Se
3 4 1 8
Direct
0.0000 0.5000 0.5000 La
0.5000 0.0000 0.5000 La
0.5000 0.5000 0.0000 La
0.0000 0.0000 0.5000 Pm
0.0000 0.5000 0.0000 Pm
0.5000 0.0000 0.0000 Pm
0.5000 0.5000 0.5000 Pm
0.0000 0.0000 0.0000 Th
0.2448 0.7499 0.7499 Se
0.2474 0.2474 0.2474 Se
0.2501 0.2501 0.7552 Se
0.2501 0.7552 0.2501 Se
0.7499 0.2448 0.7499 Se
0.7499 0.7499 0.2448 Se
0.7526 0.7526 0.7526 Se
0.7552 0.2501 0.2501 Se
```